# LaEuRh2 | Alexandria | PBE | optimized geometry
data_LaEuRh2
_symmetry_space_group_name_H-M 'P 4/m m m'
_symmetry_Int_Tables_number 123
_symmetry_space_group_name_Hall '-P 4 2'
_cell_length_a 3.5849
_cell_length_b 3.5849
_cell_length_c 7.0240
_cell_angle_alpha 90.00
_cell_angle_beta 90.00
_cell_angle_gamma 90.00
loop_
_atom_site_label
_atom_site_type_symbol
_atom_site_fract_x
_atom_site_fract_y
_atom_site_fract_z
La1 La 0.0000 0.0000 0.0000
Eu1 Eu 0.0000 0.0000 0.5000
Rh1 Rh 0.5000 0.5000 0.2341
# - Fermi-level density of states: 12.9 states/eV per cell
# - Energy above the most stable polymorph in this dataset: 0.0 meV/atom
# - Spin magnetization: 6.80 μB/f.u.
# - E: -7.992 eV/atom
# - Formation energy from the elements: -0.52 eV/atom

# LaEuRh2 | Alexandria | PBE | optimized geometry
data_LaEuRh2
_symmetry_space_group_name_H-M 'F m -3 m'
_symmetry_Int_Tables_number 225
_symmetry_space_group_name_Hall '-F 4 2 3'
_cell_length_a 7.1064
_cell_length_b 7.1064
_cell_length_c 7.1064
_cell_angle_alpha 90.00
_cell_angle_beta 90.00
_cell_angle_gamma 90.00
loop_
_atom_site_label
_atom_site_type_symbol
_atom_site_fract_x
_atom_site_fract_y
_atom_site_fract_z
La1 La 0.0000 0.0000 0.0000
Eu1 Eu 0.0000 0.0000 0.5000
Rh1 Rh 0.2500 0.2500 0.2500
# - Fermi-level density of states: 40.4 states/eV per cell
# - Energy above the most stable polymorph in this dataset: 5.6 meV/atom
# - Spin magnetization: 6.76 μB/f.u.
# - E: -7.986 eV/atom
# - Formation energy from the elements: -0.51 eV/atom

# LaEuRh | Alexandria | PBE | optimized geometry
data_LaEuRh
_symmetry_space_group_name_H-M 'I 4 m m'
_symmetry_Int_Tables_number 107
_symmetry_space_group_name_Hall 'I 4 -2'
_cell_length_a 3.6045
_cell_length_b 3.6045
_cell_length_c 13.5772
_cell_angle_alpha 90.00
_cell_angle_beta 90.00
_cell_angle_gamma 90.00
loop_
_atom_site_label
_atom_site_type_symbol
_atom_site_fract_x
_atom_site_fract_y
_atom_site_fract_z
La1 La 0.0000 0.0000 0.0000
Eu1 Eu 0.0000 0.0000 0.7490
Rh1 Rh 0.0000 0.0000 0.3883
# - Fermi-level density of states: 21.2 states/eV per cell
# - Energy above the most stable polymorph in this dataset: 45.7 meV/atom
# - Spin magnetization: 7.14 μB/f.u.
# - E: -7.944 eV/atom
# - Formation energy from the elements: -0.43 eV/atom